1.
The following is a PBE calculation of crystalline Si3Tc at its relaxed geometry, from Alexandria via LeMat-Bulk.

```
Si3Tc
1.0
1.5040 0.8683 7.2975
-1.5040 0.8683 7.2975
0.0000 -1.7366 7.2975
Si Tc
3 1
Cartesian
0.0000 0.0000 0.0000
0.0000 0.0000 5.4266
0.0000 0.0000 16.4659
0.0000 0.0000 10.9462
```

Properties
Polymorph energy (0 for the lowest one) = 18.7 kJ per mole of atoms
Space-group type = No. 166
E_form (uncorrected) = 0.01 eV/atom



2.
The following is a PBE calculation of crystalline RbPrSCl at its relaxed geometry, from Alexandria via LeMat-Bulk.

```
RbPrSCl
1.0
2.0671 1.1935 8.0775
-2.0671 1.1935 8.0775
0.0000 -2.3869 8.0775
Rb Pr S Cl
1 1 1 1
Cartesian
0.0000 0.0000 0.0000
0.0000 0.0000 19.8212
0.0000 0.0000 10.1926
0.0000 0.0000 5.5558
```

Properties
Space-group type = No. 160
E_form (uncorrected) = -1.67 eV/atom



3.
The following is a PBE calculation of crystalline Li3ThHg3 at its relaxed geometry, from Alexandria via LeMat-Bulk.

```
Li3ThHg3
1.0
6.8818 0.0000 0.0000
0.0000 6.8818 0.0000
0.0000 0.0000 6.8818
Li Th Hg
6 2 6
Cartesian
0.0000 1.7205 3.4409
0.0000 5.1614 3.4409
1.7205 3.4409 0.0000
3.4409 0.0000 1.7205
3.4409 0.0000 5.1614
5.1614 3.4409 0.0000
0.0000 0.0000 0.0000
3.4409 3.4409 3.4409
0.0000 3.4409 1.7205
0.0000 3.4409 5.1614
1.7205 0.0000 3.4409
3.4409 1.7205 0.0000
3.4409 5.1614 0.0000
5.1614 0.0000 3.4409
```

Properties
Energy of formation = 0.127 eV/atom
Space-group type = No. 223



4.
The following is a PBE calculation of crystalline Re2NiPb at its relaxed geometry, from Alexandria via LeMat-Bulk.

```
Re2NiPb
1.0
-1.9250 1.9250 9.6873
1.9250 -1.9250 9.6873
1.9250 1.9250 -9.6873
Re Ni Pb
4 2 2
Cartesian
2.8875 0.7284 -2.4218
0.7284 0.9625 2.4218
-0.9625 1.1966 7.2655
1.1966 0.9625 12.1091
0.0000 0.0000 0.0000
0.0000 1.9250 4.8437
1.9250 0.0000 4.8437
0.0000 0.0000 9.6873
```

Properties
Energy of formation = 0.848 eV/atom
Space-group type = No. 122



5.
The following is a PBE calculation of crystalline KAc2GeO5 at its relaxed geometry, from Alexandria via LeMat-Bulk.

```
KAc2GeO5
1.0
-3.6410 3.6410 5.9252
3.6410 -3.6410 5.9252
3.6410 3.6410 -5.9252
K Ac Ge O
2 4 2 10
Cartesian
0.0000 0.0000 2.9626
0.0000 0.0000 8.8879
4.9720 1.3311 0.0000
1.3311 2.3099 0.0000
2.3099 1.3311 5.9252
-1.3311 2.3099 5.9252
3.6410 0.0000 2.9626
0.0000 3.6410 2.9626
0.0000 0.0000 0.0000
2.6689 0.9720 -1.5783
0.9720 2.6689 7.5035
2.6689 -0.9720 4.3469
2.6689 0.9720 1.5783
2.6689 -0.9720 7.5035
0.9720 4.6130 -1.5783
0.0000 0.0000 5.9252
0.9720 2.6689 4.3469
0.9720 4.6130 1.5783
```

Properties
Space-group type = No. 140
E_form (uncorrected) = -2.38 eV/atom



6.
The following is a PBE calculation of crystalline Li6AcSn6 at its relaxed geometry, from Alexandria via LeMat-Bulk.

```
Li6AcSn6
1.0
-2.9953 4.8193 4.9711
2.9953 -4.8193 4.9711
2.9953 4.8193 -4.9711
Li Ac Sn
6 1 6
Cartesian
1.4977 2.4097 -2.4855
1.4977 -2.4097 2.4855
0.0000 2.3537 0.0000
-1.4977 2.4097 2.4855
1.4977 2.4097 2.4855
0.0000 7.2849 0.0000
2.9953 0.0000 0.0000
0.0000 0.0000 1.7840
2.9953 0.0000 3.4382
2.9953 3.3801 0.0000
0.0000 1.4393 4.9711
0.0000 4.8193 1.5329
0.0000 0.0000 8.1582
```

Properties
Energy of formation = -0.390 eV/atom
Space-group type = No. 71



7.
The following is a PBE calculation of crystalline Y6InAg at its relaxed geometry, from Alexandria via LeMat-Bulk.

```
Y6InAg
1.0
-2.5508 2.5508 8.9989
2.5508 -2.5508 8.9989
2.5508 2.5508 -8.9989
Y In Ag
6 1 1
Cartesian
2.5508 0.0000 1.9751
0.0000 0.0000 4.4835
2.5508 0.0000 7.0238
0.0000 2.5508 1.9751
0.0000 0.0000 13.5143
0.0000 2.5508 7.0238
0.0000 0.0000 0.0000
0.0000 0.0000 8.9989
```

Properties
Energy of formation = -0.188 eV/atom
Space-group type = No. 139



8.
The following is a PBE calculation of crystalline MgTaAl2 at its relaxed geometry, from Alexandria via LeMat-Bulk.

```
MgTaAl2
1.0
-1.9464 1.9464 4.5465
1.9464 -1.9464 4.5465
1.9464 1.9464 -4.5465
Mg Ta Al
1 1 2
Cartesian
0.0000 0.0000 0.0000
1.9464 0.0000 2.2732
0.0000 0.0000 4.5465
0.0000 1.9464 2.2732
```

Properties
Energy of formation = -0.066 eV/atom
Space-group type = No. 119



9.
The following is a PBE calculation of crystalline PmEr2Tm5Th at its relaxed geometry, from Alexandria via LeMat-Bulk.

```
PmEr2Tm5Th
1.0
-4.3572 4.3572 7.4196
4.3572 -4.3572 7.4196
4.3572 4.3572 -7.4196
Pm Er Tm Th
2 4 10 2
Cartesian
4.3572 0.0000 3.7098
0.0000 4.3572 3.7098
5.3546 0.9975 0.0000
0.9975 3.3597 0.0000
3.3597 0.9975 7.4196
-0.9975 3.3597 7.4196
0.0000 0.0000 0.0000
2.5503 1.8068 -2.0054
2.5503 -1.8068 5.4141
2.5503 1.8068 2.0054
2.5503 -1.8068 9.4250
0.0000 0.0000 7.4196
1.8068 6.1640 -2.0054
1.8068 2.5503 5.4141
1.8068 6.1640 2.0054
1.8068 2.5503 9.4250
0.0000 0.0000 3.7098
0.0000 0.0000 11.1293
```

Properties
Energy of formation = 0.321 eV/atom
Space-group type = No. 140



10.
The following is a PBE calculation of crystalline PaV2Rh at its relaxed geometry, from Alexandria via LeMat-Bulk.

```
PaV2Rh
1.0
0.0000 3.1690 3.1690
3.1690 0.0000 3.1690
3.1690 3.1690 0.0000
Pa V Rh
1 2 1
Cartesian
0.0000 0.0000 0.0000
1.5845 1.5845 1.5845
4.7534 4.7534 4.7534
3.1690 3.1690 3.1690
```

Properties
Energy of formation = -0.030 eV/atom
Polymorph energy (0 for the lowest one) = 0.0 kJ per mole of atoms
Space-group type = No. 225



11.
The following is a PBE calculation of crystalline Ca3OsRu at its relaxed geometry, from Alexandria via LeMat-Bulk.

```
Ca3OsRu
1.0
5.3596 0.0000 0.0000
0.0000 5.3596 0.0000
0.0000 0.0000 5.3596
Ca Os Ru
3 1 1
Cartesian
0.0000 0.0000 2.6798
0.0000 2.6798 0.0000
2.6798 0.0000 0.0000
0.0000 0.0000 0.0000
2.6798 2.6798 2.6798
```

Properties
Energy of formation = 1.080 eV/atom
Polymorph energy (0 for the lowest one) = 0.0 kJ per mole of atoms
Space-group type = No. 221



12.
The following is a PBE calculation of crystalline AsRhPbSe2 at its relaxed geometry, from Alexandria via LeMat-Bulk.

```
AsRhPbSe2
1.0
5.4030 0.0000 0.0000
0.0000 5.4030 0.0000
0.0000 0.0000 5.3183
As Rh Pb Se
1 1 1 2
Cartesian
0.0000 0.0000 0.0000
2.7015 2.7015 0.0000
0.0000 0.0000 2.6591
0.0000 2.7015 2.6591
2.7015 0.0000 2.6591
```

Properties
Polymorph energy (0 for the lowest one) = 121.6 kJ per mole of atoms
Space-group type = No. 123
E_form (uncorrected) = 1.33 eV/atom



Per-record N(E_F), states/eV/cell: 1.24, 2.32, 9.31, 6.49, 5.13, 4.42, 8.59, 1.91, 23.52, 6.62, 10.54, 8.43